The following is a PBE with a Hubbard U calculation of an optimized crystal structure of NpFeMoO6, from Alexandria via LeMat-Bulk.

For the density of states at the Fermi level, the calculation gives 1.19 states/eV/f.u. The total moment is 6.000 μB/cell. The calculated total energy is -144.77 eV for the cell shown.

It has space group P-31c (No. 163), with a = 5.1499 Å, b = 5.1499 Å, c = 9.3441 Å, α = 90.00°, β = 90.00° and γ = 120.00°. Symmetry generates all atoms from Np at (0.3333, 0.6667, 0.2500), Fe at (0.3333, 0.6667, 0.7500), Mo at (0.0000, 0.0000, 0.0000) and O at (0.0070, 0.3312, 0.6286).